Entry 1:
Ca2LaTe2 (PBE, optimized geometry); DOS(E_F) = 10.2 states/eV/cell; E_form (uncorrected) = -1145 meV/atom; volume = 158.68 Å³/f.u.
1.0
8.6329 0.0000 0.0000
0.0000 8.6329 0.0000
0.0000 0.0000 4.2583
Ca La Te
4 2 4
Direct
0.1520 0.3480 0.0000
0.3480 0.8480 0.0000
0.6520 0.1520 0.0000
0.8480 0.6520 0.0000
0.0000 0.0000 0.5000
0.5000 0.5000 0.5000
0.1524 0.6524 0.5000
0.3476 0.1524 0.5000
0.6524 0.8476 0.5000
0.8476 0.3476 0.5000

---

Entry 2:
CaLa2Te (PBE, optimized geometry); DOS(E_F) = 4.1 states/eV/cell; E_form (uncorrected) = -583 meV/atom; volume = 138.81 Å³/f.u.
1.0
6.8969 -1.9839 0.0000
6.8969 1.9839 0.0000
-2.1917 0.0000 5.0723
Ca La Te
1 2 1
Direct
0.0000 0.0000 0.0000
0.2102 0.2102 0.7103
0.7898 0.7898 0.2897
0.5000 0.5000 0.5000

---

Q: Which of these has the lowest E_form (uncorrected)?
A: Ca2LaTe2